! GGA-PBE Y4TmHg2, optimized geometry; values from VASP
! formation energy: 8 meV per atom
&SYSTEM
  ibrav = 0, nat = 7, ntyp = 3
/
ATOMIC_SPECIES
Y 88.91 Y.upf
Tm 168.93 Tm.upf
Hg 200.59 Hg.upf
ATOMIC_POSITIONS angstrom
Y 5.583 2.542 10.837
Y 0.342 2.063 9.190
Y 0.160 0.692 3.078
Y 5.401 1.171 4.725
Tm 2.872 1.617 6.958
Hg 0.036 1.358 6.066
Hg 5.708 1.876 7.849
CELL_PARAMETERS angstrom
-1.425 3.382 3.552
-1.320 -1.601 4.667
8.489 1.453 5.695

! GGA-PBE YTm4Hg, optimized geometry; values from VASP
! energy above the lowest structure with this stoichiometry: 0 meV per atom
! formation energy: -139 meV per atom
&SYSTEM
  ibrav = 0, nat = 6, ntyp = 3
/
ATOMIC_SPECIES
Y 88.91 Y.upf
Tm 168.93 Tm.upf
Hg 200.59 Hg.upf
ATOMIC_POSITIONS angstrom
Y 0.000 0.000 0.000
Tm 1.762 1.762 2.494
Tm 0.000 0.000 8.974
Tm 0.000 0.000 4.966
Tm 1.762 1.762 11.446
Hg 1.762 1.762 6.970
CELL_PARAMETERS angstrom
3.523 0.000 0.000
0.000 3.523 0.000
0.000 0.000 13.940

! GGA-PBE YTm7Hg4, optimized geometry; values from VASP
! formation energy: -80 meV per atom
&SYSTEM
  ibrav = 0, nat = 12, ntyp = 3
/
ATOMIC_SPECIES
Y 88.91 Y.upf
Tm 168.93 Tm.upf
Hg 200.59 Hg.upf
ATOMIC_POSITIONS angstrom
Y 0.000 0.000 0.000
Tm 8.422 7.962 4.587
Tm 2.807 1.460 3.420
Tm 2.807 5.250 2.460
Tm 8.422 4.172 5.547
Tm 5.614 6.548 6.173
Tm 2.807 0.000 0.000
Tm 5.614 2.874 1.834
Hg 5.614 2.948 4.744
Hg 5.614 6.475 3.262
Hg 8.422 6.547 7.441
Hg 2.807 2.875 0.566
CELL_PARAMETERS angstrom
5.614 0.000 0.000
2.807 8.380 0.864
2.807 1.043 7.143